Compound: Y2MgAu
Source: Alexandria
Functional: PBE
Structure: relaxed

Values from the calculation:
calculated density	5.71	Mg/m³
DFT formation energy	-0.27	eV/atom
space-group type	R3m, No. 160

Unit cell a=9.3687 b=9.3687 c=9.3687 alpha=23.63 beta=23.63 gamma=23.63
Fractional coordinates of all 4 atoms:
Y1 0.0000 0.0000 0.0000
Y2 0.1923 0.1923 0.1923
Mg1 0.7627 0.7627 0.7627
Au1 0.5966 0.5966 0.5966